An optimized crystal structure of PmVCr2O8. Source: the Alexandria database, functional PBE with a Hubbard U.

Results
Its crystal system is tetragonal. As for the uncorrected energy: -7.3817 eV per atom.

Cell and atoms, written as CIF:
```
data_PmVCr2O8
_cell_length_a 5.889
_cell_length_b 5.889
_cell_length_c 5.889
_cell_angle_alpha 106.22
_cell_angle_beta 106.22
_cell_angle_gamma 116.20
_symmetry_space_group_name_H-M 'P 1'
_symmetry_Int_Tables_number 1
loop_
_symmetry_equiv_pos_as_xyz
'x,y,z'
loop_
_atom_site_label
_atom_site_fract_x
_atom_site_fract_y
_atom_site_fract_z
_atom_site_occupancy
O1 0.775 0.080 0.694 1
O2 0.307 0.482 0.175 1
O3 0.307 0.132 0.825 1
O4 0.518 0.693 0.825 1
O5 0.868 0.693 0.175 1
O6 0.386 0.080 0.306 1
O7 0.920 0.614 0.694 1
O8 0.920 0.225 0.306 1
V1 0.000 0.000 0.000 1
Cr1 0.500 0.500 0.000 1
Cr2 0.750 0.250 0.500 1
Pm1 0.250 0.750 0.500 1
```